A relaxed structure of BaNd2Mo4O16, computed with GGA+U.

The space group is C2/c (No. 15) and the conventional cell measures 5.4269, 12.9740 and 19.9933 Å, with angles of 90.00, 91.33 and 90.00 degrees. Symmetry generates all atoms from Ba at (0.0000, 0.0304, 0.2500), Nd at (0.0019, 0.1480, 0.4672), Mo at (0.0022, 0.2604, 0.8509), Mo at (0.0088, 0.4407, 0.0906), O at (0.1156, 0.4155, 0.3316), O at (0.1173, 0.1403, 0.8241), O at (0.1524, 0.3306, 0.0460), O at (0.1609, 0.2417, 0.5683), O at (0.2060, 0.3102, 0.7095), O at (0.2283, 0.4566, 0.6019), O at (0.2396, 0.1510, 0.1349) and O at (0.2460, 0.0175, 0.5366).

For the total DFT energy (no corrections), the calculation gives -7.41 eV/atom. For the spin magnetization, the calculation gives 0.000 μB per atom.